First-principles (PBE-GGA) data for a relaxed CrTcSeN2 crystal, as listed in Alexandria.

Unit cell a=3.793 b=3.793 c=5.415 alpha=90.00 beta=90.00 gamma=90.00
Space group P4/mmm (No. 123)
Inequivalent atoms, fractional coordinates:
Cr 0.000 0.000 0.000 x1
Tc 0.500 0.500 0.500 x1
Se 0.500 0.500 0.000 x1
N 0.000 0.500 0.500 x2

Properties
As for the crystal system: tetragonal. The total moment is 0.182 μB/atom. For the uncorrected formation energy, the calculation gives 0.98 eV per atom. For the energy above the most stable polymorph in this dataset, the calculation gives 0.144 eV/atom.



First-principles (PBE-GGA) data for a relaxed CrTcSeN2 crystal, as listed in Alexandria.

Unit cell a=3.701 b=3.701 c=5.164 alpha=90.00 beta=90.00 gamma=90.00
Space group P4/mmm (No. 123)
Inequivalent atoms, fractional coordinates:
Cr 0.000 0.000 0.000 x1
Tc 0.500 0.500 0.500 x1
Se 0.000 0.000 0.500 x1
N 0.000 0.500 0.000 x2

Properties
As for the crystal system: tetragonal. The total moment is 0.702 μB/atom. For the uncorrected formation energy, the calculation gives 0.83 eV per atom. For the energy above the most stable polymorph in this dataset, the calculation gives 0.000 eV/atom.



no.,D(E_F) (states/eV/f.u.)
1,9.6
2,2.3